Record 1
Tl2CdGaNi: relaxed, GGA-PBE.

a = 5.166 Å, b = 4.674 Å, c = 5.166 Å
α = 90.00°, β = 90.00°, γ = 90.00°
Atoms (fractional coordinates):
Ni1 0.000 0.000 0.000
Tl1 0.500 0.000 0.000
Tl2 0.000 0.000 0.500
Cd1 0.500 0.500 0.500
Ga1 0.000 0.500 0.000

As for the offset from the most stable computed form: 0 meV/atom. Its energy relative to the elements is 0.4 eV/f.u.


Record 2
TlCd2GaNi: relaxed, GGA-PBE.

a = 5.094 Å, b = 5.094 Å, c = 4.573 Å
α = 90.00°, β = 90.00°, γ = 90.00°
Atoms (fractional coordinates):
Cd1 0.500 0.000 0.000
Cd2 0.000 0.500 0.000
Ga1 0.000 0.000 0.500
Tl1 0.500 0.500 0.500
Ni1 0.000 0.000 0.000

Its energy relative to the elements is 0.0 eV/f.u.